Compound: Tb2DyRh4
Source: the Alexandria database
Functional: PBE
Structure: relaxed

a = 4.677 Å, b = 4.677 Å, c = 6.686 Å
α = 90.00°, β = 90.00°, γ = 90.00°
Positions (direct):
Rh  0.000  0.500  0.254
Rh  0.500  0.000  0.746
Rh  0.500  0.000  0.254
Rh  0.000  0.500  0.746
Tb  0.500  0.500  0.500
Tb  0.000  0.000  0.000
Dy  0.500  0.500  0.000

Results
magnetization	0.0000	μB per atom
formation energy	-3.22	eV per formula unit
symmetry	P4/mmm (123)